[1]
# Pm4As2SeBr (PBE, optimized geometry)
# Formation energy from raw total energies: -1578 meV per atom
# Uncorrected energy: -46.1 eV/cell
# Total magnetic moment: 0.00 μB/f.u.
data_Pm4As2SeBr
_cell_length_a 7.333
_cell_length_b 4.219
_cell_length_c 7.439
_cell_angle_alpha 90.00
_cell_angle_beta 109.04
_cell_angle_gamma 90.00
_space_group_name_H-M_alt 'P 1 2/m 1'
_space_group_IT_number 10
loop_
_space_group_symop_operation_xyz
'x,y,z'
'-x,-y,-z'
'-x,y,-z'
'x,-y,z'
loop_
_atom_site_label
_atom_site_type_symbol
_atom_site_fract_x
_atom_site_fract_y
_atom_site_fract_z
Pm1 Pm 0.230 0.000 0.221
Pm2 Pm 0.246 0.500 0.772
As1 As 0.000 0.500 0.000
As2 As 0.500 0.000 0.000
Se1 Se 0.000 0.000 0.500
Br1 Br 0.500 0.500 0.500

***

[2]
# Pm8Si3AsBr4 (PBE, optimized geometry)
# Formation energy from raw total energies: -1178 meV per atom
# Uncorrected energy: -168.9 eV/cell
# Total magnetic moment: 0.00 μB/f.u.
data_Pm8Si3AsBr4
_cell_length_a 14.677
_cell_length_b 8.474
_cell_length_c 8.783
_cell_angle_alpha 90.00
_cell_angle_beta 123.85
_cell_angle_gamma 90.00
_space_group_name_H-M_alt 'C 1 2/m 1'
_space_group_IT_number 12
loop_
_space_group_symop_operation_xyz
'x,y,z'
'-x,-y,-z'
'-x,y,-z'
'x,-y,z'
'x+1/2,y+1/2,z'
'-x+1/2,-y+1/2,-z'
'-x+1/2,y+1/2,-z'
'x+1/2,-y+1/2,z'
loop_
_atom_site_label
_atom_site_type_symbol
_atom_site_fract_x
_atom_site_fract_y
_atom_site_fract_z
Pm1 Pm 0.015 0.245 0.292
Pm2 Pm 0.237 0.000 0.709
Pm3 Pm 0.238 0.500 0.708
Si1 Si 0.000 0.000 0.500
Si2 Si 0.250 0.250 0.500
As1 As 0.000 0.500 0.500
Br1 Br 0.000 0.000 0.000
Br2 Br 0.000 0.500 0.000
Br3 Br 0.250 0.250 0.000

***

[3]
# Pm4SiAsBr2 (PBE, optimized geometry)
# Formation energy from raw total energies: -1260 meV per atom
# Uncorrected energy: -42.5 eV/cell
# Total magnetic moment: 0.00 μB/f.u.
data_Pm4SiAsBr2
_cell_length_a 7.352
_cell_length_b 4.239
_cell_length_c 7.651
_cell_angle_alpha 90.00
_cell_angle_beta 108.64
_cell_angle_gamma 90.00
_space_group_name_H-M_alt 'P 1 2/m 1'
_space_group_IT_number 10
loop_
_space_group_symop_operation_xyz
'x,y,z'
'-x,-y,-z'
'-x,y,-z'
'x,-y,z'
loop_
_atom_site_label
_atom_site_type_symbol
_atom_site_fract_x
_atom_site_fract_y
_atom_site_fract_z
Pm1 Pm 0.230 0.000 0.209
Pm2 Pm 0.258 0.500 0.792
Si1 Si 0.000 0.500 0.000
As1 As 0.500 0.000 0.000
Br1 Br 0.000 0.000 0.500
Br2 Br 0.500 0.500 0.500

***

- Among the records above, which one has the lowest formation energy from raw total energies?
  Pm4As2SeBr